First-principles (PBE+U) data for an optimized crystal structure of CaMnBrO2, as listed in the Alexandria database.

CIF file:
```
data_CaMnBrO2
_symmetry_space_group_name_H-M 'P 1 21/m 1'
_symmetry_Int_Tables_number 11
_cell_length_a 6.8193
_cell_length_b 3.7890
_cell_length_c 8.2369
_cell_angle_alpha 90.00
_cell_angle_beta 107.21
_cell_angle_gamma 90.00
loop_
_symmetry_equiv_pos_as_xyz
'x,y,z'
'-x,-y,-z'
'-x,y+1/2,-z'
'x,-y+1/2,z'
loop_
_atom_site_label
_atom_site_type_symbol
_atom_site_fract_x
_atom_site_fract_y
_atom_site_fract_z
Ca1 Ca 0.2156 0.2500 0.0026
Mn1 Mn 0.0143 0.7500 0.6388
Br1 Br 0.4885 0.2500 0.7740
O1 O 0.0349 0.7500 0.4062
O2 O 0.0467 0.7500 0.8706
```

## Properties
- electronic total energy (eV per atom) = -6.198
- magnetic moment (μB/atom) = 0.80



First-principles (PBE+U) data for an optimized crystal structure of Hf2MnBiO, as listed in the Alexandria database.

CIF file:
```
data_Hf2MnBiO
_symmetry_space_group_name_H-M 'P 4/m m m'
_symmetry_Int_Tables_number 123
_symmetry_space_group_name_Hall '-P 4 2'
_cell_length_a 5.1250
_cell_length_b 5.1250
_cell_length_c 3.5562
_cell_angle_alpha 90.00
_cell_angle_beta 90.00
_cell_angle_gamma 90.00
loop_
_atom_site_label
_atom_site_type_symbol
_atom_site_fract_x
_atom_site_fract_y
_atom_site_fract_z
Hf1 Hf 0.0000 0.5000 0.0000
Mn1 Mn 0.0000 0.0000 0.0000
Bi1 Bi 0.5000 0.5000 0.5000
O1 O 0.0000 0.0000 0.5000
```

## Properties
- electronic total energy (eV per atom) = -6.904
- magnetic moment (μB/atom) = 0.00